(1)
LaTl2Os2: optimized geometry, GGA-PBE.

The structure in extended XYZ format:
```
5
Lattice="6.0799 -1.8057 -0.8635 4.4616 4.5481 -0.6169 -4.8122 -1.3804 3.9886" Properties=species:S:1:pos:R:3 pbc="T T T"
La 0.0000 0.0000 0.0000
Tl 2.4601 2.2694 1.3157
Tl 3.2692 -0.9075 1.1925
Os 6.3751 1.6585 -0.8953
Os 4.1664 1.0839 -0.5851
```

Summary:
Total magnetization = 0.000 μB/atom
ρ = 13.03 g/cm3
Formation enthalpy at 0 K = 0.32 eV per atom

---

(2)
LaTl2Os: optimized geometry, GGA-PBE.

The structure in extended XYZ format:
```
4
Lattice="0.0000 3.5999 3.5999 3.5999 0.0000 3.5999 3.5999 3.5999 0.0000" Properties=species:S:1:pos:R:3 pbc="T T T"
Tl 1.7999 1.7999 1.7999
Tl 5.3998 5.3998 5.3998
Os 3.5999 3.5999 3.5999
La 0.0000 0.0000 0.0000
```

Summary:
Total magnetization = 0.000 μB/atom
ρ = 13.13 g/cm3
Excess energy over the best structure of this formula in the dataset = 38 kJ/mol of formula units
Formation enthalpy at 0 K = 0.31 eV per atom

---

(3)
LaTl2Os: optimized geometry, GGA-PBE.

The structure in extended XYZ format:
```
4
Lattice="5.3377 -0.1132 0.0000 0.9489 5.2539 0.0000 -3.1433 -2.5703 3.4665" Properties=species:S:1:pos:R:3 pbc="T T T"
La 3.1433 2.5703 0.0000
Os 2.6688 -0.0566 1.7333
Tl 0.0000 0.0000 0.0000
Tl 0.4744 2.6269 1.7333
```

Summary:
Total magnetization = 0.000 μB/atom
ρ = 12.56 g/cm3
Excess energy over the best structure of this formula in the dataset = 76 kJ/mol of formula units
Formation enthalpy at 0 K = 0.41 eV per atom

---

(4)
LaTl2Os: optimized geometry, GGA-PBE.

The structure in extended XYZ format:
```
8
Lattice="4.3142 0.0000 0.0000 0.0000 4.3142 0.0000 2.1571 2.1571 11.2252" Properties=species:S:1:pos:R:3 pbc="T T T"
Tl 3.3245 1.0785 2.8063
Tl 0.9896 3.2356 2.8063
Tl 3.2356 3.1467 8.4189
Tl 5.3927 5.4816 8.4189
Os 0.0000 0.0000 0.0000
Os 4.3142 2.1571 5.6126
La 2.1571 2.1571 0.0000
La 2.1571 4.3142 5.6126
```

Summary:
Total magnetization = 0.000 μB/atom
ρ = 11.73 g/cm3
Excess energy over the best structure of this formula in the dataset = 91 kJ/mol of formula units
Formation enthalpy at 0 K = 0.45 eV per atom

---

(5)
LaTl4Os: optimized geometry, GGA-PBE.

The structure in extended XYZ format:
```
6
Lattice="5.7046 -1.9951 -0.7440 1.5135 -5.6253 1.7726 1.2104 -4.2802 -4.1583" Properties=species:S:1:pos:R:3 pbc="T T T"
La 6.3214 -8.9254 -2.3473
Tl 6.0273 -5.4564 -1.5455
Tl 3.7623 -6.6080 -3.2662
Tl 3.9151 -7.2859 -0.2772
Tl 3.1523 -4.4509 -1.1705
Os 0.0000 0.0000 0.0000
```

Summary:
Total magnetization = 0.000 μB/atom
ρ = 11.93 g/cm3
Formation enthalpy at 0 K = 0.67 eV per atom

---

(6)
LaTl2Os: optimized geometry, GGA-PBE.

The structure in extended XYZ format:
```
4
Lattice="3.4878 0.0000 0.0000 0.0000 3.4842 0.0000 0.0000 0.0000 7.7068" Properties=species:S:1:pos:R:3 pbc="T T T"
La 1.7439 1.7421 1.9267
Os 1.7439 1.7421 5.7801
Tl 0.0000 0.0000 7.3476
Tl 0.0000 0.0000 4.2126
```

Summary:
Total magnetization = 0.000 μB/atom
ρ = 13.08 g/cm3
Excess energy over the best structure of this formula in the dataset = 60 kJ/mol of formula units
Formation enthalpy at 0 K = 0.37 eV per atom

---

(7)
La2TlOs: optimized geometry, GGA-PBE.

The structure in extended XYZ format:
```
4
Lattice="9.1364 0.0284 0.0169 8.2338 3.9597 0.0169 8.2338 1.8904 3.4794" Properties=species:S:1:pos:R:3 pbc="T T T"
La 0.3401 0.0781 0.0467
La 5.6329 1.2933 0.7729
Os 12.6645 2.9077 1.7378
Tl 19.7683 4.5387 2.7125
```

Summary:
Total magnetization = 0.000 μB/atom
ρ = 8.97 g/cm3
Excess energy over the best structure of this formula in the dataset = 213 kJ/mol of formula units
Formation enthalpy at 0 K = 0.35 eV per atom

---

(8)
La6TlOs: optimized geometry, GGA-PBE.

The structure in extended XYZ format:
```
8
Lattice="6.6494 0.3784 0.0000 1.9252 8.2900 0.0000 0.9626 4.1450 5.1439" Properties=species:S:1:pos:R:3 pbc="T T T"
La 7.0193 7.7285 3.1519
La 6.0568 3.5836 1.9920
La 3.4804 9.2298 3.1519
La 2.5178 5.0848 1.9920
La 5.4798 6.8321 0.0000
La 3.0948 1.8363 0.0000
Tl 0.0000 0.0000 0.0000
Os 4.2873 4.3342 0.0000
```

Summary:
Total magnetization = 0.000 μB/atom
ρ = 7.29 g/cm3
Formation enthalpy at 0 K = -0.10 eV per atom

---

(9)
LaTl2Os: optimized geometry, GGA-PBE.

The structure in extended XYZ format:
```
4
Lattice="3.2087 0.0013 0.0000 -1.3627 2.9050 0.0000 0.0000 0.0000 10.2940" Properties=species:S:1:pos:R:3 pbc="T T T"
La 0.9230 1.4531 2.5735
Os 0.9230 1.4531 7.7205
Tl 0.0000 0.0000 9.9332
Tl 0.0000 0.0000 5.5078
```

Summary:
Total magnetization = 0.000 μB/atom
ρ = 12.77 g/cm3
Excess energy over the best structure of this formula in the dataset = 160 kJ/mol of formula units
Formation enthalpy at 0 K = 0.63 eV per atom

---

(10)
La2TlOs: optimized geometry, GGA-PBE.

The structure in extended XYZ format:
```
4
Lattice="5.3015 0.0055 -0.0149 -0.0097 5.3015 -0.0149 0.0092 0.0092 3.7920" Properties=species:S:1:pos:R:3 pbc="T T T"
La 0.0000 0.0000 0.0000
La 2.6459 2.6535 -0.0149
Os 2.6553 0.0073 1.8885
Tl -0.0003 2.6553 1.8885
```

Summary:
Total magnetization = 0.000 μB/atom
ρ = 10.48 g/cm3
Excess energy over the best structure of this formula in the dataset = 81 kJ/mol of formula units
Formation enthalpy at 0 K = 0.01 eV per atom

---

(11)
LaTlOs: optimized geometry, GGA-PBE.

The structure in extended XYZ format:
```
3
Lattice="4.1432 0.0000 0.0000 -2.0716 3.5881 0.0000 0.0000 0.0000 5.5118" Properties=species:S:1:pos:R:3 pbc="T T T"
La 0.0000 0.0000 0.3664
Os 2.0716 1.1960 1.8545
Tl 0.0000 2.3921 3.2909
```

Summary:
Total magnetization = 0.000 μB/atom
ρ = 10.81 g/cm3
Formation enthalpy at 0 K = 0.35 eV per atom

---

(12)
LaTl2Os: optimized geometry, GGA-PBE.

The structure in extended XYZ format:
```
4
Lattice="-0.4954 1.3171 -8.3047 -3.0243 -1.8209 -7.6476 -4.2922 2.0003 -6.9659" Properties=species:S:1:pos:R:3 pbc="T T T"
La -3.7192 0.7125 -10.9111
Os -5.8367 1.1181 -17.1234
Tl -0.1514 0.0290 -0.4442
Tl -2.0106 0.3852 -5.8986
```

Summary:
Total magnetization = 0.000 μB/atom
ρ = 10.49 g/cm3
Excess energy over the best structure of this formula in the dataset = 54 kJ/mol of formula units
Formation enthalpy at 0 K = 0.35 eV per atom